Below is an optimized crystal structure of RbPb2AuBr, with properties calculated at the PBE-GGA level.

Structure (POSCAR):
```
RbPb2AuBr
1.0
6.501 0.000 0.000
0.000 6.501 0.000
0.000 0.000 5.841
Rb Pb Au Br
1 2 1 1
Direct
0.000 0.000 0.000 Rb
0.000 0.500 0.000 Pb
0.500 0.000 0.000 Pb
0.500 0.500 0.500 Au
0.000 0.000 0.500 Br
```

Crystal system: tetragonal
E above lowest polymorph, eV/atom: 0.541
Magnetization, μB per formula unit: 0.0
Formation energy without anion corrections, eV per atom: 0.784